The following is a DFT calculation (PBE) of a relaxed ZrAgAu2 crystal.

a = 4.7209 Å, b = 4.7209 Å, c = 4.7209 Å
α = 60.00°, β = 60.00°, γ = 60.00°
Closest atoms and distances in Å follow each position.
Fractional coordinates of all 4 atoms:
Ag: 0.5000 0.5000 0.5000  4 Zr 2.89, 4 Au 2.89
Au: 0.0000 0.0000 0.0000  4 Au 2.89, 4 Zr 2.89
Au: 0.2500 0.2500 0.2500  4 Au 2.89, 4 Ag 2.89
Zr: 0.7500 0.7500 0.7500  4 Ag 2.89, 4 Au 2.89

Computed properties:
volume = 18.6 Å³ per atom
E_form = -0.30 eV per atom
space group = F-43m (216)
total magnetic moment = 0.0 μB/cell